## SnPbAu4 (PBE)

Data for crystalline SnPbAu4 at its relaxed geometry.

Computed properties:
calculated total energy	-3.24	eV per atom

Cell lengths 8.0090, 8.1049, 5.0508 Å; angles 90.00, 90.00, 90.00 degrees
Space group Cmmm (No. 65)
Unique sites:
Sn 0.0000 0.0000 0.0000 x2
Pb 0.0000 0.5000 0.5000 x2
Au 0.0000 0.1652 0.5000 x4
Au 0.1718 0.5000 0.0000 x4